Record 1
# PBE Na3MgCl, optimized geometry
data_Na3MgCl
_cell_length_a 5.9888
_cell_length_b 5.9888
_cell_length_c 5.9888
_cell_angle_alpha 90.00
_cell_angle_beta 90.00
_cell_angle_gamma 90.00
_space_group_name_H-M_alt 'P m -3 m'
_space_group_IT_number 221
_space_group_name_Hall '-P 4 2 3'
loop_
_atom_site_label
_atom_site_type_symbol
_atom_site_fract_x
_atom_site_fract_y
_atom_site_fract_z
Na1 Na 0.0000 0.0000 0.5000
Mg1 Mg 0.0000 0.0000 0.0000
Cl1 Cl 0.5000 0.5000 0.5000
# energy above the lowest structure with this stoichiometry	488	meV/atom
# magnetic moment	0.00	μB per atom
# formation energy without anion corrections	0.0088	eV/atom
# Fermi-level density of states	5.3	states/eV per cell



Record 2
# PBE RbTlInHg2, optimized geometry
data_RbTlInHg2
_cell_length_a 5.0376
_cell_length_b 5.0376
_cell_length_c 13.2310
_cell_angle_alpha 90.00
_cell_angle_beta 90.00
_cell_angle_gamma 90.00
_space_group_name_H-M_alt 'I -4 m 2'
_space_group_IT_number 119
_space_group_name_Hall 'I -4 -2'
loop_
_atom_site_label
_atom_site_type_symbol
_atom_site_fract_x
_atom_site_fract_y
_atom_site_fract_z
Rb1 Rb 0.0000 0.0000 0.0000
Tl1 Tl 0.0000 0.5000 0.7500
In1 In 0.0000 0.5000 0.2500
Hg1 Hg 0.0000 0.0000 0.3872
# energy above the lowest structure with this stoichiometry	0	meV/atom
# magnetic moment	0.00	μB per atom
# Fermi-level density of states	6.4	states/eV per cell



Record 3
# PBE OsPd2S4, optimized geometry
data_OsPd2S4
_cell_length_a 4.8857
_cell_length_b 4.8857
_cell_length_c 11.4346
_cell_angle_alpha 90.00
_cell_angle_beta 90.00
_cell_angle_gamma 90.00
_space_group_name_H-M_alt 'I 4/m m m'
_space_group_IT_number 139
_space_group_name_Hall '-I 4 2'
loop_
_atom_site_label
_atom_site_type_symbol
_atom_site_fract_x
_atom_site_fract_y
_atom_site_fract_z
Os1 Os 0.0000 0.0000 0.0000
Pd1 Pd 0.0000 0.0000 0.3876
S1 S 0.0000 0.0000 0.1925
S2 S 0.0000 0.5000 0.0000
# magnetic moment	0.00	μB per atom
# formation energy without anion corrections	0.3980	eV/atom
# Fermi-level density of states	16.5	states/eV per cell



Record 4
# PBE CdPt2W, optimized geometry
data_CdPt2W
_cell_length_a 4.1141
_cell_length_b 4.1141
_cell_length_c 7.8135
_cell_angle_alpha 90.00
_cell_angle_beta 90.00
_cell_angle_gamma 90.00
_space_group_name_H-M_alt 'I 4/m m m'
_space_group_IT_number 139
_space_group_name_Hall '-I 4 2'
loop_
_atom_site_label
_atom_site_type_symbol
_atom_site_fract_x
_atom_site_fract_y
_atom_site_fract_z
Cd1 Cd 0.0000 0.0000 0.0000
Pt1 Pt 0.0000 0.5000 0.2500
W1 W 0.0000 0.0000 0.5000
# total DFT energy (no corrections)	-0.23465	hartree per atom
# magnetic moment	0.12	μB per atom
# Fermi-level density of states	9.8	states/eV per cell



Record 5
# PBE TlTcNi2, optimized geometry
data_TlTcNi2
_cell_length_a 8.5041
_cell_length_b 2.8449
_cell_length_c 5.0632
_cell_angle_alpha 90.00
_cell_angle_beta 98.09
_cell_angle_gamma 90.00
_space_group_name_H-M_alt 'C 1 2/m 1'
_space_group_IT_number 12
loop_
_space_group_symop_operation_xyz
'x,y,z'
'-x,-y,-z'
'-x,y,-z'
'x,-y,z'
'x+1/2,y+1/2,z'
'-x+1/2,-y+1/2,-z'
'-x+1/2,y+1/2,-z'
'x+1/2,-y+1/2,z'
loop_
_atom_site_label
_atom_site_type_symbol
_atom_site_fract_x
_atom_site_fract_y
_atom_site_fract_z
Tl1 Tl 0.0000 0.0000 0.0000
Tc1 Tc 0.0000 0.5000 0.5000
Ni1 Ni 0.2438 0.0000 0.7010
# energy above the lowest structure with this stoichiometry	82	meV/atom
# magnetic moment	0.00	μB per atom
# Fermi-level density of states	7.7	states/eV per cell



Record 6
# PBE Pm6CoRh, optimized geometry
data_Pm6CoRh
_cell_length_a 6.8412
_cell_length_b 11.2463
_cell_length_c 6.7955
_cell_angle_alpha 90.00
_cell_angle_beta 108.37
_cell_angle_gamma 90.00
_space_group_name_H-M_alt 'C 1 2/m 1'
_space_group_IT_number 12
loop_
_space_group_symop_operation_xyz
'x,y,z'
'-x,-y,-z'
'-x,y,-z'
'x,-y,z'
'x+1/2,y+1/2,z'
'-x+1/2,-y+1/2,-z'
'-x+1/2,y+1/2,-z'
'x+1/2,-y+1/2,z'
loop_
_atom_site_label
_atom_site_type_symbol
_atom_site_fract_x
_atom_site_fract_y
_atom_site_fract_z
Pm1 Pm 0.2332 0.1703 0.2468
Pm2 Pm 0.2460 0.5000 0.2376
Co1 Co 0.0000 0.0000 0.0000
Rh1 Rh 0.0000 0.5000 0.5000
# total DFT energy (no corrections)	-0.20373	hartree per atom
# magnetic moment	0.00	μB per atom
# Fermi-level density of states	16.9	states/eV per cell



Record 7
# PBE CaZrAs, optimized geometry
data_CaZrAs
_cell_length_a 3.6475
_cell_length_b 11.2172
_cell_length_c 5.1583
_cell_angle_alpha 90.00
_cell_angle_beta 135.00
_cell_angle_gamma 90.00
_space_group_name_H-M_alt 'P 1 c 1'
_space_group_IT_number 7
loop_
_space_group_symop_operation_xyz
'x,y,z'
'x,-y,z+1/2'
loop_
_atom_site_label
_atom_site_type_symbol
_atom_site_fract_x
_atom_site_fract_y
_atom_site_fract_z
Ca1 Ca 0.0000 0.1321 0.0000
Zr1 Zr 0.0078 0.4214 0.0025
As1 As 0.0073 0.3174 0.5023
# energy above the lowest structure with this stoichiometry	132	meV/atom
# magnetic moment	0.00	μB per atom
# Fermi-level density of states	4.4	states/eV per cell



Record 8
# PBE Th2Sn3Ru4, optimized geometry
data_Th2Sn3Ru4
_cell_length_a 6.1606
_cell_length_b 17.1430
_cell_length_c 6.9854
_cell_angle_alpha 90.00
_cell_angle_beta 90.00
_cell_angle_gamma 90.00
_space_group_name_H-M_alt 'C m c e'
_space_group_IT_number 64
_space_group_name_Hall '-C 2ac 2'
loop_
_atom_site_label
_atom_site_type_symbol
_atom_site_fract_x
_atom_site_fract_y
_atom_site_fract_z
Th1 Th 0.0000 0.1045 0.0846
Sn1 Sn 0.0000 0.0000 0.5000
Sn2 Sn 0.2500 0.2314 0.7500
Ru1 Ru 0.0000 0.1651 0.4537
Ru2 Ru 0.2500 0.0759 0.7500
# total DFT energy (no corrections)	-0.27768	hartree per atom
# magnetic moment	0.00	μB per atom
# Fermi-level density of states	15.8	states/eV per cell



Record 9
# PBE LaErScIn, optimized geometry
data_LaErScIn
_cell_length_a 7.6864
_cell_length_b 7.6864
_cell_length_c 7.6864
_cell_angle_alpha 90.00
_cell_angle_beta 90.00
_cell_angle_gamma 90.00
_space_group_name_H-M_alt 'F -4 3 m'
_space_group_IT_number 216
_space_group_name_Hall 'F -4 2 3'
loop_
_atom_site_label
_atom_site_type_symbol
_atom_site_fract_x
_atom_site_fract_y
_atom_site_fract_z
La1 La 0.0000 0.0000 0.0000
Er1 Er 0.0000 0.0000 0.5000
Sc1 Sc 0.2500 0.2500 0.7500
In1 In 0.2500 0.2500 0.2500
# total DFT energy (no corrections)	-0.17657	hartree per atom
# magnetic moment	0.28	μB per atom
# Fermi-level density of states	19.3	states/eV per cell



Record 10
# PBE Er2HgBi, optimized geometry
data_Er2HgBi
_cell_length_a 7.5683
_cell_length_b 7.5683
_cell_length_c 7.5683
_cell_angle_alpha 90.00
_cell_angle_beta 90.00
_cell_angle_gamma 90.00
_space_group_name_H-M_alt 'F m -3 m'
_space_group_IT_number 225
_space_group_name_Hall '-F 4 2 3'
loop_
_atom_site_label
_atom_site_type_symbol
_atom_site_fract_x
_atom_site_fract_y
_atom_site_fract_z
Er1 Er 0.2500 0.2500 0.2500
Hg1 Hg 0.0000 0.0000 0.0000
Bi1 Bi 0.0000 0.0000 0.5000
# energy above the lowest structure with this stoichiometry	123	meV/atom
# magnetic moment	0.00	μB per atom
# Fermi-level density of states	19.3	states/eV per cell



Record 11
# PBE Tb3Pr2Cd2, optimized geometry
data_Tb3Pr2Cd2
_cell_length_a 3.6157
_cell_length_b 33.1957
_cell_length_c 3.5632
_cell_angle_alpha 90.00
_cell_angle_beta 90.00
_cell_angle_gamma 90.00
_space_group_name_H-M_alt 'C m m m'
_space_group_IT_number 65
_space_group_name_Hall '-C 2 2'
loop_
_atom_site_label
_atom_site_type_symbol
_atom_site_fract_x
_atom_site_fract_y
_atom_site_fract_z
Tb1 Tb 0.0000 0.0000 0.0000
Tb2 Tb 0.0000 0.4255 0.5000
Pr1 Pr 0.0000 0.2979 0.5000
Cd1 Cd 0.0000 0.1356 0.0000
# energy above the lowest structure with this stoichiometry	29	meV/atom
# magnetic moment	0.00	μB per atom
# Fermi-level density of states	16.5	states/eV per cell



Record 12
# PBE Pm3YSb4, optimized geometry
data_Pm3YSb4
_cell_length_a 8.9348
_cell_length_b 12.6390
_cell_length_c 4.4715
_cell_angle_alpha 90.00
_cell_angle_beta 90.00
_cell_angle_gamma 90.00
_space_group_name_H-M_alt 'C m m m'
_space_group_IT_number 65
_space_group_name_Hall '-C 2 2'
loop_
_atom_site_label
_atom_site_type_symbol
_atom_site_fract_x
_atom_site_fract_y
_atom_site_fract_z
Pm1 Pm 0.0000 0.0000 0.0000
Pm2 Pm 0.2500 0.2500 0.5000
Y1 Y 0.0000 0.5000 0.0000
Sb1 Sb 0.0000 0.2522 0.0000
Sb2 Sb 0.2458 0.5000 0.5000
# energy above the lowest structure with this stoichiometry	3	meV/atom
# magnetic moment	0.00	μB per atom
# formation energy without anion corrections	-1.1796	eV/atom
# Fermi-level density of states	2.1	states/eV per cell



Record 13
# PBE VCdPd2, optimized geometry
data_VCdPd2
_cell_length_a 4.6894
_cell_length_b 4.6894
_cell_length_c 2.9842
_cell_angle_alpha 90.00
_cell_angle_beta 90.00
_cell_angle_gamma 90.00
_space_group_name_H-M_alt 'P 4/m m m'
_space_group_IT_number 123
_space_group_name_Hall '-P 4 2'
loop_
_atom_site_label
_atom_site_type_symbol
_atom_site_fract_x
_atom_site_fract_y
_atom_site_fract_z
V1 V 0.0000 0.0000 0.0000
Cd1 Cd 0.5000 0.5000 0.0000
Pd1 Pd 0.0000 0.5000 0.5000
# total DFT energy (no corrections)	-0.19203	hartree per atom
# magnetic moment	0.63	μB per atom
# Fermi-level density of states	4.6	states/eV per cell



Record 14
# PBE Nd2Sm5Sc, optimized geometry
data_Nd2Sm5Sc
_cell_length_a 5.6234
_cell_length_b 11.9154
_cell_length_c 16.0485
_cell_angle_alpha 90.00
_cell_angle_beta 90.00
_cell_angle_gamma 90.00
_space_group_name_H-M_alt 'C m c m'
_space_group_IT_number 63
_space_group_name_Hall '-C 2c 2'
loop_
_atom_site_label
_atom_site_type_symbol
_atom_site_fract_x
_atom_site_fract_y
_atom_site_fract_z
Nd1 Nd 0.0000 0.2214 0.1350
Sm1 Sm 0.0000 0.0791 0.5933
Sm2 Sm 0.0000 0.3821 0.5524
Sm3 Sm 0.0000 0.4673 0.2500
Sc1 Sc 0.0000 0.2595 0.7500
# energy above the lowest structure with this stoichiometry	92	meV/atom
# magnetic moment	0.00	μB per atom
# Fermi-level density of states	53.3	states/eV per cell



Record 15
# PBE EuTmHg, optimized geometry
data_EuTmHg
_cell_length_a 5.2038
_cell_length_b 5.2038
_cell_length_c 3.9156
_cell_angle_alpha 90.00
_cell_angle_beta 90.00
_cell_angle_gamma 120.00
_space_group_name_H-M_alt 'P -6 m 2'
_space_group_IT_number 187
_space_group_name_Hall 'P -6 2'
loop_
_atom_site_label
_atom_site_type_symbol
_atom_site_fract_x
_atom_site_fract_y
_atom_site_fract_z
Eu1 Eu 0.0000 0.0000 0.0000
Tm1 Tm 0.6667 0.3333 0.5000
Hg1 Hg 0.3333 0.6667 0.5000
# energy above the lowest structure with this stoichiometry	97	meV/atom
# magnetic moment	2.42	μB per atom
# Fermi-level density of states	2.5	states/eV per cell



Record 16
# PBE Tm6AlTc2, optimized geometry
data_Tm6AlTc2
_cell_length_a 9.2521
_cell_length_b 9.3306
_cell_length_c 10.3182
_cell_angle_alpha 90.00
_cell_angle_beta 90.00
_cell_angle_gamma 90.00
_space_group_name_H-M_alt 'I m m m'
_space_group_IT_number 71
_space_group_name_Hall '-I 2 2'
loop_
_atom_site_label
_atom_site_type_symbol
_atom_site_fract_x
_atom_site_fract_y
_atom_site_fract_z
Tm1 Tm 0.0000 0.1869 0.1667
Tm2 Tm 0.1861 0.2219 0.5000
Tm3 Tm 0.1989 0.5000 0.2524
Al1 Al 0.0000 0.5000 0.0000
Al2 Al 0.0000 0.5000 0.5000
Tc1 Tc 0.0000 0.0000 0.3844
Tc2 Tc 0.1847 0.0000 0.0000
# total DFT energy (no corrections)	-0.21682	hartree per atom
# magnetic moment	0.00	μB per atom
# Fermi-level density of states	34.9	states/eV per cell



Record 17
# PBE ZrIn2W, optimized geometry
data_ZrIn2W
_cell_length_a 4.1907
_cell_length_b 4.1907
_cell_length_c 4.5807
_cell_angle_alpha 90.00
_cell_angle_beta 90.00
_cell_angle_gamma 90.00
_space_group_name_H-M_alt 'P 4/m m m'
_space_group_IT_number 123
_space_group_name_Hall '-P 4 2'
loop_
_atom_site_label
_atom_site_type_symbol
_atom_site_fract_x
_atom_site_fract_y
_atom_site_fract_z
Zr1 Zr 0.0000 0.0000 0.0000
In1 In 0.0000 0.5000 0.5000
W1 W 0.5000 0.5000 0.0000
# energy above the lowest structure with this stoichiometry	0	meV/atom
# magnetic moment	0.00	μB per atom
# Fermi-level density of states	2.5	states/eV per cell



Record 18
# PBE CsRbSr4, optimized geometry
data_CsRbSr4
_cell_length_a 11.8678
_cell_length_b 11.8678
_cell_length_c 11.8678
_cell_angle_alpha 90.00
_cell_angle_beta 90.00
_cell_angle_gamma 90.00
_space_group_name_H-M_alt 'F -4 3 m'
_space_group_IT_number 216
_space_group_name_Hall 'F -4 2 3'
loop_
_atom_site_label
_atom_site_type_symbol
_atom_site_fract_x
_atom_site_fract_y
_atom_site_fract_z
Cs1 Cs 0.0000 0.0000 0.0000
Rb1 Rb 0.2500 0.2500 0.7500
Sr1 Sr 0.1249 0.1249 0.3751
# total DFT energy (no corrections)	-0.04708	hartree per atom
# magnetic moment	0.00	μB per atom
# Fermi-level density of states	19.6	states/eV per cell



Record 19
# PBE FeRuPb2, optimized geometry
data_FeRuPb2
_cell_length_a 8.6260
_cell_length_b 3.2986
_cell_length_c 5.6662
_cell_angle_alpha 90.00
_cell_angle_beta 101.95
_cell_angle_gamma 90.00
_space_group_name_H-M_alt 'C 1 2/m 1'
_space_group_IT_number 12
loop_
_space_group_symop_operation_xyz
'x,y,z'
'-x,-y,-z'
'-x,y,-z'
'x,-y,z'
'x+1/2,y+1/2,z'
'-x+1/2,-y+1/2,-z'
'-x+1/2,y+1/2,-z'
'x+1/2,-y+1/2,z'
loop_
_atom_site_label
_atom_site_type_symbol
_atom_site_fract_x
_atom_site_fract_y
_atom_site_fract_z
Fe1 Fe 0.0000 0.0000 0.0000
Ru1 Ru 0.0000 0.5000 0.5000
Pb1 Pb 0.2482 0.0000 0.7484
# energy above the lowest structure with this stoichiometry	350	meV/atom
# magnetic moment	0.68	μB per atom
# Fermi-level density of states	7.7	states/eV per cell



Record 20
# PBE AsOsRh2, optimized geometry
data_AsOsRh2
_cell_length_a 3.9263
_cell_length_b 2.8710
_cell_length_c 10.3861
_cell_angle_alpha 90.00
_cell_angle_beta 90.00
_cell_angle_gamma 90.00
_space_group_name_H-M_alt 'A m m 2'
_space_group_IT_number 38
loop_
_space_group_symop_operation_xyz
'x,y,z'
'-x,-y,z'
'-x,y,z'
'x,-y,z'
'x,y+1/2,z+1/2'
'-x,-y+1/2,z+1/2'
'-x,y+1/2,z+1/2'
'x,-y+1/2,z+1/2'
loop_
_atom_site_label
_atom_site_type_symbol
_atom_site_fract_x
_atom_site_fract_y
_atom_site_fract_z
As1 As 0.0000 0.0000 0.0000
Os1 Os 0.5000 0.0000 0.1477
Rh1 Rh 0.0000 0.0000 0.7614
Rh2 Rh 0.5000 0.0000 0.4072
# total DFT energy (no corrections)	-0.27956	hartree per atom
# magnetic moment	0.00	μB per atom
# Fermi-level density of states	8.4	states/eV per cell